DFT (GGA+U) results for Cd2GaMoO6 after structural relaxation.

abc: 5.2587 5.2587 4.9629
angles: 90.00 90.00 90.00
Last column: nearest neighbours and their distance in Å.
Sites, in units of the cell vectors:
Cd (0.0000, 0.5000, 0.0000)  4 O 2.34
Cd (0.5000, 0.0000, 0.0000)  4 O 2.34
Ga (0.0000, 0.0000, 0.5750)  5 O 1.84-1.99
Mo (0.5000, 0.5000, 0.5714)  5 O 1.79-1.98
O (0.0000, 0.0000, 0.2039)  1 Ga 1.84
O (0.2514, 0.2514, 0.7136)  1 Mo 1.98, 1 Ga 1.99
O (0.2514, 0.7486, 0.7136)  1 Mo 1.98, 1 Ga 1.99
O (0.5000, 0.5000, 0.2115)  1 Mo 1.79
O (0.7486, 0.2514, 0.7136)  1 Mo 1.98, 1 Ga 1.99
O (0.7486, 0.7486, 0.7136)  1 Mo 1.98, 1 Ga 1.99

Values from the calculation:
* V: 137.2 Å³ per cell
* mass density: 5886 kg/m3
* spin magnetization: 0.97 Bohr magnetons per cell
* electronic total energy: -54.42 eV for the cell shown